Entry 1:
KInFeW2 | PBE | optimized geometry

Cell lengths 5.195, 4.959, 5.195 Å; angles 90.00, 90.00, 90.00 degrees
Sites, in units of the cell vectors:
W: 0.000 0.000 0.500
K: 0.500 0.500 0.500
W: 0.500 0.000 0.000
In: 0.000 0.000 0.000
Fe: 0.000 0.500 0.000

Output
Spin magnetization (μB/cell): 6.0
E_form (meV per atom): 2571
SG: P4/mmm, No. 123
Uncorrected energy (eV per atom): -5.070

Entry 2:
YCuRh2 | PBE | optimized geometry

Cell lengths 4.234, 3.034, 5.434 Å; angles 75.76, 90.00, 90.00 degrees
Sites, in units of the cell vectors:
Cu: 0.500 0.750 0.750
Rh: 0.000 0.590 0.531
Rh: 0.000 0.910 0.969
Y: 0.500 0.250 0.250

Output
Spin magnetization (μB/cell): 0.0
E_form (meV per atom): -234
SG: P2/m, No. 10
Energy above the lowest structure with this stoichiometry (kJ per mole of atoms): 18.03
Uncorrected energy (eV per atom): -6.550

Entry 3:
BaTc2W | PBE | optimized geometry

Cell lengths 3.075, 3.692, 7.864 Å; angles 90.00, 90.00, 90.00 degrees
Sites, in units of the cell vectors:
Tc: 0.000 0.000 0.098
Ba: 0.500 0.500 0.755
Tc: 0.500 0.500 0.246
W: 0.000 0.000 0.401

Output
Spin magnetization (μB/cell): 0.0
E_form (meV per atom): 743
SG: Pmm2, No. 25
Energy above the lowest structure with this stoichiometry (kJ per mole of atoms): 14.58
Uncorrected energy (eV per atom): -8.159

Entry 4:
Cs2ErZn2Se4 | PBE | optimized geometry

Cell lengths 4.129, 8.658, 8.534 Å; angles 111.10, 104.00, 90.00 degrees
Sites, in units of the cell vectors:
Er: 0.000 0.000 0.000
Se: 0.531 0.795 0.062
Se: 0.816 0.813 0.632
Zn: 0.682 0.009 0.365
Cs: 0.870 0.438 0.740
Se: 0.184 0.187 0.368
Cs: 0.130 0.562 0.260
Se: 0.469 0.205 0.938
Zn: 0.318 0.991 0.635

Output
Spin magnetization (μB/cell): 0.0
SG: C2/m, No. 12
Uncorrected energy (eV per atom): -3.625
ΔE_f (raw) (eV/atom): -1.097

Entry 5:
LiHfZn6 | PBE | optimized geometry

Cell lengths 4.279, 4.279, 6.658 Å; angles 90.00, 90.00, 90.00 degrees
Sites, in units of the cell vectors:
Zn: 0.000 0.249 0.731
Zn: 0.500 0.751 0.269
Hf: 0.000 0.749 0.000
Zn: 0.000 0.249 0.269
Zn: 0.000 0.749 0.500
Zn: 0.500 0.250 0.000
Zn: 0.500 0.751 0.731
Li: 0.500 0.251 0.500

Output
Spin magnetization (μB/cell): 0.0
E_form (meV per atom): -159
SG: Pmm2, No. 25
Uncorrected energy (eV per atom): -2.598

Entry 6:
MnPt2Se | PBE | optimized geometry

Cell lengths 5.235, 5.235, 5.235 Å; angles 138.77, 133.75, 63.66 degrees
Sites, in units of the cell vectors:
Pt: 0.732 0.232 0.500
Se: 0.539 0.539 0.000
Mn: 0.265 0.765 0.500
Pt: 0.964 0.964 0.000

Output
Spin magnetization (μB/cell): 4.6
SG: Imm2, No. 44
Uncorrected energy (eV per atom): -6.217
ΔE_f (raw) (eV/atom): -0.033

Entry 7:
Tl6AgSb3 | PBE | optimized geometry

Cell lengths 6.706, 9.470, 9.660 Å; angles 90.82, 90.00, 90.00 degrees
Sites, in units of the cell vectors:
Sb: 0.748 0.003 0.228
Tl: 0.886 0.319 0.418
Tl: 0.734 0.150 0.758
Tl: 0.766 0.650 0.258
Tl: 0.084 0.676 0.944
Sb: 0.000 0.000 0.500
Sb: 0.248 0.497 0.272
Sb: 0.500 0.500 0.000
Tl: 0.416 0.176 0.444
Sb: 0.752 0.503 0.728
Sb: 0.252 0.997 0.772
Tl: 0.234 0.350 0.742
Tl: 0.916 0.324 0.056
Tl: 0.266 0.850 0.242
Tl: 0.114 0.681 0.582
Ag: 0.500 0.500 0.500
Tl: 0.614 0.819 0.918
Tl: 0.386 0.181 0.082
Ag: 0.000 0.000 0.000
Tl: 0.584 0.824 0.556

Output
Spin magnetization (μB/cell): 0.0
SG: P2_1/c, No. 14
Uncorrected energy (eV per atom): -2.921
ΔE_f (raw) (eV/atom): 0.020

Entry 8:
ZrCo4B | PBE | optimized geometry

Cell lengths 3.973, 5.342, 6.946 Å; angles 90.00, 106.62, 90.00 degrees
Sites, in units of the cell vectors:
Co: 0.794 0.993 0.589
B: 0.106 0.750 0.211
Co: 0.206 0.493 0.411
Co: 0.000 0.000 0.000
Zr: 0.401 0.750 0.802
Co: 0.389 0.250 0.777
Co: 0.206 0.007 0.411
B: 0.894 0.250 0.789
Co: 0.000 0.500 0.000
Co: 0.611 0.750 0.223
Zr: 0.599 0.250 0.198
Co: 0.794 0.507 0.589

Output
Spin magnetization (μB/cell): 5.5
E_form (meV per atom): -195
SG: Cmcm, No. 63
Uncorrected energy (eV per atom): -7.470